4
Lattice="3.6457 0.0000 0.0000 0.0000 3.6457 0.0000 0.0000 0.0000 8.7280" Properties=species:S:1:pos:R:3 comment="PmSmErAg | Alexandria via LeMat-Bulk | GGA-PBE | optimized geometry" ef_ev_per_atom=-0.13 polymorph_energy_mev_per_atom=0.0 volume_a3_per_cell=116.0 pbc="T T T"
Pm 0.0000 0.0000 0.0000
Sm 1.8228 1.8228 6.1625
Er 1.8228 1.8228 2.5019
Ag 0.0000 0.0000 4.2030